# Pr3Al2Ni7

Crystalline Pr3Al2Ni7 at its relaxed geometry (PBE, Alexandria via LeMat-Bulk).

Structure (POSCAR):
```
Pr3Al2Ni7
1.0
5.037 0.000 1.577
2.272 4.496 1.577
0.073 0.045 8.601
Pr Al Ni
3 2 7
direct
0.000 0.000 0.000
0.858 0.858 0.425
0.142 0.142 0.575
0.669 0.669 0.992
0.331 0.331 0.008
0.500 0.500 0.500
0.910 0.425 0.241
0.425 0.910 0.241
0.425 0.425 0.241
0.090 0.575 0.759
0.575 0.575 0.759
0.575 0.090 0.759
```

As for the total energy: -67.22 eV per cell. As for the formation enthalpy at 0 K: -0.4103 eV per atom. As for the density of states at the Fermi level: 0.685 states/eV per atom. The total moment comes out at 0.0 μB/cell. As for the symmetry: R-3m, No. 166.